! Zn2GaAu5 | the Alexandria database | PBE | relaxed; values from VASP
! - DFT formation energy (eV/atom) = 0.013
! - energy above the lowest structure with this stoichiometry (meV per atom) = 163
! - density of states at the Fermi level (states/eV/atom) = 0.35
! - volume (Å³ per cell) = 370.3
! - total magnetic moment (μB per formula unit) = 0.0
&SYSTEM
  ibrav = 0, nat = 16, ntyp = 3
/
ATOMIC_SPECIES
Au 196.97 Au.upf
Ga 69.72 Ga.upf
Zn 65.41 Zn.upf
CELL_PARAMETERS angstrom
-0.385 -3.950 0.903
8.295 0.913 -1.640
1.854 2.249 10.625
ATOMIC_POSITIONS crystal
Au 0.023 0.047 0.123
Au 0.266 0.531 0.420
Ga 0.153 0.306 0.250
Zn 0.874 0.748 0.441
Au 0.266 0.531 0.080
Ga 0.847 0.694 0.750
Au 0.977 0.953 0.877
Zn 0.874 0.748 0.059
Au 0.734 0.469 0.580
Au 0.023 0.047 0.377
Au 0.771 0.541 0.250
Au 0.977 0.953 0.623
Zn 0.126 0.252 0.941
Au 0.229 0.459 0.750
Zn 0.126 0.252 0.559
Au 0.734 0.469 0.920


! Zn6GaAu | the Alexandria database | PBE | relaxed; values from VASP
! - DFT formation energy (eV/atom) = -0.038
! - density of states at the Fermi level (states/eV/atom) = 0.26
! - volume (Å³ per cell) = 130.6
! - total magnetic moment (μB per formula unit) = 0.0
&SYSTEM
  ibrav = 0, nat = 8, ntyp = 3
/
ATOMIC_SPECIES
Zn 65.41 Zn.upf
Ga 69.72 Ga.upf
Au 196.97 Au.upf
CELL_PARAMETERS angstrom
4.604 0.383 -0.500
2.590 6.056 0.568
1.983 2.919 5.042
ATOMIC_POSITIONS crystal
Zn 0.755 0.216 0.286
Ga 0.500 0.500 0.500
Zn 0.885 0.589 0.662
Zn 0.629 0.865 0.880
Zn 0.245 0.784 0.714
Au 0.000 0.000 0.000
Zn 0.115 0.411 0.338
Zn 0.371 0.135 0.120


! ZnGa2Au2 | the Alexandria database | PBE | relaxed; values from VASP
! - DFT formation energy (eV/atom) = -0.071
! - energy above the lowest structure with this stoichiometry (meV per atom) = 107
! - density of states at the Fermi level (states/eV/atom) = 0.47
! - volume (Å³ per cell) = 189.0
! - total magnetic moment (μB per formula unit) = 0.0
&SYSTEM
  ibrav = 0, nat = 10, ntyp = 3
/
ATOMIC_SPECIES
Ga 69.72 Ga.upf
Zn 65.41 Zn.upf
Au 196.97 Au.upf
CELL_PARAMETERS angstrom
7.019 0.000 0.000
0.000 7.019 0.000
0.000 0.000 3.837
ATOMIC_POSITIONS crystal
Ga 0.349 0.151 0.500
Zn 0.500 0.500 0.000
Zn 0.000 0.000 0.000
Ga 0.651 0.849 0.500
Au 0.656 0.156 0.000
Ga 0.151 0.651 0.500
Au 0.344 0.844 0.000
Au 0.156 0.344 0.000
Au 0.844 0.656 0.000
Ga 0.849 0.349 0.500


! ZnGa2Au2 | the Alexandria database | PBE | relaxed; values from VASP
! - DFT formation energy (eV/atom) = 0.012
! - energy above the lowest structure with this stoichiometry (meV per atom) = 190
! - density of states at the Fermi level (states/eV/atom) = 0.41
! - volume (Å³ per cell) = 187.4
! - total magnetic moment (μB per formula unit) = 0.0
&SYSTEM
  ibrav = 0, nat = 10, ntyp = 3
/
ATOMIC_SPECIES
Ga 69.72 Ga.upf
Au 196.97 Au.upf
Zn 65.41 Zn.upf
CELL_PARAMETERS angstrom
7.293 0.000 0.000
0.000 7.293 0.000
0.000 0.000 3.524
ATOMIC_POSITIONS crystal
Ga 0.343 0.843 0.000
Ga 0.157 0.343 0.000
Au 0.145 0.645 0.500
Au 0.355 0.145 0.500
Zn 0.000 0.000 0.000
Zn 0.500 0.500 0.000
Ga 0.843 0.657 0.000
Au 0.855 0.355 0.500
Ga 0.657 0.157 0.000
Au 0.645 0.855 0.500


! Zn4GaAu4 | the Alexandria database | PBE | relaxed; values from VASP
! - DFT formation energy (eV/atom) = -0.083
! - density of states at the Fermi level (states/eV/atom) = 0.33
! - volume (Å³ per cell) = 362.0
! - total magnetic moment (μB per formula unit) = 0.0
&SYSTEM
  ibrav = 0, nat = 18, ntyp = 3
/
ATOMIC_SPECIES
Ga 69.72 Ga.upf
Zn 65.41 Zn.upf
Au 196.97 Au.upf
CELL_PARAMETERS angstrom
4.792 0.000 0.000
0.000 8.691 0.000
0.000 0.000 8.691
ATOMIC_POSITIONS crystal
Ga 0.500 0.500 0.500
Zn 0.500 0.367 0.923
Au 0.500 0.232 0.650
Zn 0.000 0.133 0.577
Zn 0.500 0.077 0.367
Zn 0.000 0.423 0.133
Au 0.000 0.732 0.150
Zn 0.000 0.867 0.423
Ga 0.000 0.000 0.000
Zn 0.500 0.923 0.633
Au 0.500 0.650 0.768
Au 0.000 0.850 0.732
Zn 0.000 0.577 0.867
Au 0.500 0.350 0.232
Zn 0.500 0.633 0.077
Au 0.000 0.268 0.850
Au 0.500 0.768 0.350
Au 0.000 0.150 0.268


! Zn2GaAu | the Alexandria database | PBE | relaxed; values from VASP
! - DFT formation energy (eV/atom) = -0.077
! - density of states at the Fermi level (states/eV/atom) = 0.29
! - volume (Å³ per cell) = 72.8
! - total magnetic moment (μB per formula unit) = 0.0
&SYSTEM
  ibrav = 0, nat = 4, ntyp = 3
/
ATOMIC_SPECIES
Zn 65.41 Zn.upf
Au 196.97 Au.upf
Ga 69.72 Ga.upf
CELL_PARAMETERS angstrom
4.358 0.000 0.000
2.179 3.774 0.000
2.179 1.258 4.427
ATOMIC_POSITIONS crystal
Zn 0.268 0.268 0.197
Zn 0.073 0.073 0.782
Au 0.678 0.678 0.965
Ga 0.481 0.481 0.557


! Zn6GaAu6 | the Alexandria database | PBE | relaxed; values from VASP
! - DFT formation energy (eV/atom) = -0.136
! - density of states at the Fermi level (states/eV/atom) = 0.29
! - volume (Å³ per cell) = 220.3
! - total magnetic moment (μB per formula unit) = 0.0
&SYSTEM
  ibrav = 0, nat = 13, ntyp = 3
/
ATOMIC_SPECIES
Ga 69.72 Ga.upf
Zn 65.41 Zn.upf
Au 196.97 Au.upf
CELL_PARAMETERS angstrom
-1.305 -2.671 -4.296
4.724 2.198 0.375
3.329 -7.812 3.847
ATOMIC_POSITIONS crystal
Ga 0.000 0.000 0.000
Zn 0.000 0.500 0.250
Au 0.667 0.333 0.000
Zn 0.500 0.500 0.750
Au 0.333 0.667 0.000
Zn 0.500 0.500 0.250
Zn 0.500 0.000 0.750
Au 0.333 0.667 0.500
Au 0.000 0.000 0.341
Au 0.000 0.000 0.659
Zn 0.000 0.500 0.750
Au 0.667 0.333 0.500
Zn 0.500 0.000 0.250


! ZnGa3Au4 | the Alexandria database | PBE | relaxed; values from VASP
! - DFT formation energy (eV/atom) = -0.093
! - density of states at the Fermi level (states/eV/atom) = 0.29
! - volume (Å³ per cell) = 149.6
! - total magnetic moment (μB per formula unit) = 0.0
&SYSTEM
  ibrav = 0, nat = 8, ntyp = 3
/
ATOMIC_SPECIES
Au 196.97 Au.upf
Ga 69.72 Ga.upf
Zn 65.41 Zn.upf
CELL_PARAMETERS angstrom
6.412 -0.471 -1.370
-3.568 5.349 1.370
-3.824 -1.038 5.245
ATOMIC_POSITIONS crystal
Au 0.107 0.232 0.339
Ga 0.609 0.708 0.318
Zn 0.282 0.500 0.782
Au 0.107 0.768 0.875
Au 0.564 0.251 0.314
Ga 0.808 0.000 0.808
Au 0.063 0.749 0.314
Ga 0.609 0.292 0.901


! Zn4GaAu2 | the Alexandria database | PBE | relaxed; values from VASP
! - DFT formation energy (eV/atom) = -0.058
! - energy above the lowest structure with this stoichiometry (meV per atom) = 77
! - density of states at the Fermi level (states/eV/atom) = 0.23
! - volume (Å³ per cell) = 245.1
! - total magnetic moment (μB per formula unit) = 0.0
&SYSTEM
  ibrav = 0, nat = 14, ntyp = 3
/
ATOMIC_SPECIES
Au 196.97 Au.upf
Zn 65.41 Zn.upf
Ga 69.72 Ga.upf
CELL_PARAMETERS angstrom
5.634 -0.411 0.458
-0.599 9.545 -1.614
-2.083 -6.346 5.480
ATOMIC_POSITIONS crystal
Au 0.675 0.275 0.150
Au 0.611 0.856 0.232
Zn 0.423 0.580 0.700
Zn 0.368 0.053 0.190
Zn 0.314 0.648 0.266
Ga 0.198 0.298 0.174
Zn 0.821 0.658 0.293
Au 0.112 0.353 0.718
Zn 0.300 0.124 0.743
Zn 0.904 0.584 0.708
Au 0.619 0.357 0.739
Zn 0.822 0.137 0.768
Zn 0.885 0.050 0.165
Ga 0.199 0.777 0.655


! Zn6GaAu12 | the Alexandria database | PBE | relaxed; values from VASP
! - DFT formation energy (eV/atom) = -0.100
! - density of states at the Fermi level (states/eV/atom) = 0.21
! - volume (Å³ per cell) = 352.5
! - total magnetic moment (μB per formula unit) = 0.0
&SYSTEM
  ibrav = 0, nat = 19, ntyp = 3
/
ATOMIC_SPECIES
Zn 65.41 Zn.upf
Au 196.97 Au.upf
Ga 69.72 Ga.upf
CELL_PARAMETERS angstrom
-1.992 -2.185 -6.988
7.577 0.000 0.398
-2.616 -5.155 4.915
ATOMIC_POSITIONS crystal
Zn 0.300 0.695 0.300
Zn 0.700 0.305 0.700
Zn 0.300 0.300 0.695
Au 0.120 0.500 0.880
Au 0.890 0.653 0.653
Ga 0.000 0.000 0.000
Au 0.500 0.880 0.120
Au 0.347 0.347 0.110
Au 0.347 0.110 0.347
Au 0.110 0.347 0.347
Au 0.880 0.120 0.500
Au 0.120 0.880 0.500
Au 0.653 0.890 0.653
Zn 0.695 0.300 0.300
Zn 0.305 0.700 0.700
Au 0.880 0.500 0.120
Au 0.653 0.653 0.890
Au 0.500 0.120 0.880
Zn 0.700 0.700 0.305